[1]
Compound: LiGeSb2Mo
Source: Alexandria
Functional: PBE-GGA
Structure: relaxed

Values from the calculation:
Space-group type: P4/mmm (123)
Formation energy (no corrections) in eV per atom: 0.83
Total moment in μB per atom: 0.54

Lattice parameters (Å, degrees): 5.4360 4.8618 5.4360 90.00 90.00 90.00
With the nearest neighbours (Å) after each atom.
Element x y z (fractional)
Sb  0.5000  0.0000  0.0000  2 Ge 2.72
Sb  0.0000  0.0000  0.5000  2 Ge 2.72
Mo  0.0000  0.5000  0.0000  2 Ge 2.43
Ge  0.0000  0.0000  0.0000  2 Mo 2.43, 4 Sb 2.72
Li  0.5000  0.5000  0.5000  8 Sb 3.65, 4 Mo 3.84

---

[2]
Compound: LiGeSbMo2
Source: Alexandria
Functional: PBE-GGA
Structure: relaxed

Values from the calculation:
Space-group type: P4/mmm (123)
Formation energy (no corrections) in eV per atom: 1.34
Total moment in μB per atom: 0.92

Lattice parameters (Å, degrees): 5.0963 4.7005 5.0963 90.00 90.00 90.00
With the nearest neighbours (Å) after each atom.
Element x y z (fractional)
Ge  0.5000  0.5000  0.5000  8 Mo 3.47, 4 Li 3.60
Mo  0.0000  0.0000  0.5000  2 Sb 2.55
Mo  0.5000  0.0000  0.0000  2 Sb 2.55
Li  0.0000  0.5000  0.0000  2 Sb 2.35
Sb  0.0000  0.0000  0.0000  2 Li 2.35, 4 Mo 2.55

---

[3]
Compound: Li2SnGeMo
Source: Alexandria
Functional: PBE-GGA
Structure: relaxed

Values from the calculation:
Space-group type: P4/mmm (123)
Energy of formation from the pure elements in meV/atom: 845
Total moment in μB per atom: 0.40

Lattice parameters (Å, degrees): 4.7227 5.2165 4.7227 90.00 90.00 90.00
With the nearest neighbours (Å) after each atom.
Element x y z (fractional)
Sn  0.0000  0.0000  0.0000  4 Li 2.36, 2 Mo 2.61
Li  0.0000  0.0000  0.5000  2 Sn 2.36
Li  0.5000  0.0000  0.0000  2 Sn 2.36
Ge  0.5000  0.5000  0.5000  4 Mo 3.34, 8 Li 3.52
Mo  0.0000  0.5000  0.0000  2 Sn 2.61

---

[4]
Compound: LiTcGeMo2
Source: Alexandria
Functional: PBE-GGA
Structure: relaxed

Values from the calculation:
Space-group type: P4/mmm (123)
Energy of formation from the pure elements in meV/atom: 1120
Total moment in μB per atom: 0.17

Lattice parameters (Å, degrees): 4.2891 4.0092 4.2891 90.00 90.00 90.00
With the nearest neighbours (Å) after each atom.
Element x y z (fractional)
Mo  0.5000  0.0000  0.0000  2 Li 2.14
Mo  0.0000  0.0000  0.5000  2 Li 2.14
Tc  0.5000  0.5000  0.5000  8 Mo 2.94, 4 Ge 3.03
Ge  0.0000  0.5000  0.0000  2 Li 2.00
Li  0.0000  0.0000  0.0000  2 Ge 2.00, 4 Mo 2.14